VASP calculation (PBE-GGA) on a relaxed Li4Cd3Ag2 crystal.

Calculated values
space-group type: C2/m, No. 12
offset from the most stable computed form: 17 meV per atom
E_tot: -1.994 eV/atom

a = 4.016 Å, b = 6.707 Å, c = 6.751 Å
α = 108.22°, β = 107.31°, γ = 90.00°
Fractional coordinates of all 9 atoms:
Li1 0.552 0.324 0.103
Li2 0.779 0.682 0.557
Li3 0.448 0.676 0.897
Li4 0.221 0.318 0.443
Cd1 0.884 0.343 0.768
Cd2 0.116 0.657 0.232
Cd3 0.000 0.000 0.000
Ag1 0.334 0.994 0.667
Ag2 0.666 0.006 0.333


VASP calculation (PBE-GGA) on a relaxed LiCd2Ag2 crystal.

Calculated values
space-group type: I4/mmm, No. 139
offset from the most stable computed form: 150 meV per atom
E_tot: -1.895 eV/atom

a = 3.929 Å, b = 3.929 Å, c = 7.584 Å
α = 74.99°, β = 74.99°, γ = 90.00°
Fractional coordinates of all 5 atoms:
Li1 0.000 0.000 0.000
Ag1 0.750 0.250 0.500
Ag2 0.250 0.750 0.500
Cd1 0.401 0.401 0.198
Cd2 0.599 0.599 0.802


VASP calculation (PBE-GGA) on a relaxed Li2Cd8Ag crystal.

Calculated values
space-group type: C2/m, No. 12
offset from the most stable computed form: 72 meV per atom
E_tot: -1.312 eV/atom

a = 5.089 Å, b = 7.603 Å, c = 7.743 Å
α = 60.59°, β = 77.70°, γ = 64.30°
Fractional coordinates of all 11 atoms:
Li1 0.000 0.302 0.395
Li2 0.000 0.698 0.605
Cd1 0.851 0.096 0.237
Cd2 0.851 0.333 0.763
Cd3 0.301 0.403 0.000
Cd4 0.500 0.786 0.428
Cd5 0.500 0.214 0.572
Cd6 0.699 0.597 0.000
Cd7 0.149 0.667 0.237
Cd8 0.149 0.904 0.763
Ag1 0.500 0.000 0.000


VASP calculation (PBE-GGA) on a relaxed Li3Cd2Ag4 crystal.

Calculated values
space-group type: C2/m, No. 12
offset from the most stable computed form: 23 meV per atom
E_tot: -2.279 eV/atom

a = 4.279 Å, b = 4.938 Å, c = 8.718 Å
α = 75.32°, β = 90.00°, γ = 115.67°
Fractional coordinates of all 9 atoms:
Li1 0.664 0.328 0.784
Li2 0.000 0.000 0.000
Li3 0.336 0.672 0.216
Cd1 0.669 0.339 0.435
Cd2 0.331 0.661 0.565
Ag1 0.668 0.336 0.102
Ag2 0.332 0.664 0.898
Ag3 0.997 0.994 0.681
Ag4 0.003 0.006 0.319


VASP calculation (PBE-GGA) on a relaxed LiCd5Ag4 crystal.

Calculated values
space-group type: I4, No. 79
offset from the most stable computed form: 132 meV per atom
E_tot: -1.748 eV/atom

a = 5.904 Å, b = 6.653 Å, c = 6.653 Å
α = 78.65°, β = 63.66°, γ = 63.66°
Fractional coordinates of all 10 atoms:
Li1 0.185 0.000 0.000
Cd1 0.892 0.388 0.738
Cd2 0.281 0.738 0.612
Cd3 0.630 0.262 0.388
Cd4 0.019 0.612 0.262
Cd5 0.745 0.000 0.000
Ag1 0.332 0.344 0.872
Ag2 0.676 0.872 0.656
Ag3 0.204 0.128 0.344
Ag4 0.548 0.656 0.128


VASP calculation (PBE-GGA) on a relaxed Li2Cd12Ag5 crystal.

Calculated values
space-group type: C2/m, No. 12
offset from the most stable computed form: 34 meV per atom
E_tot: -1.571 eV/atom

a = 6.059 Å, b = 9.479 Å, c = 7.566 Å
α = 75.84°, β = 90.00°, γ = 108.64°
Fractional coordinates of all 19 atoms:
Li1 0.740 0.000 0.000
Li2 0.260 0.000 0.000
Cd1 0.140 0.281 0.950
Cd2 0.048 0.600 0.779
Cd3 0.552 0.600 0.779
Cd4 0.145 0.790 0.361
Cd5 0.646 0.790 0.361
Cd6 0.454 0.907 0.694
Cd7 0.546 0.093 0.306
Cd8 0.855 0.210 0.639
Cd9 0.354 0.210 0.639
Cd10 0.952 0.400 0.221
Cd11 0.448 0.400 0.221
Cd12 0.860 0.719 0.050
Ag1 0.252 0.504 0.495
Ag2 0.354 0.707 0.064
Ag3 0.000 0.000 0.500
Ag4 0.646 0.293 0.936
Ag5 0.748 0.496 0.505


VASP calculation (PBE-GGA) on a relaxed LiCd2Ag6 crystal.

Calculated values
space-group type: P-1, No. 2
offset from the most stable computed form: 0 meV per atom
E_tot: -2.404 eV/atom

a = 5.057 Å, b = 9.175 Å, c = 7.701 Å
α = 73.16°, β = 89.33°, γ = 74.17°
Fractional coordinates of all 18 atoms:
Li1 0.270 0.111 0.866
Li2 0.730 0.889 0.134
Cd1 0.395 0.553 0.803
Cd2 0.065 0.217 0.478
Cd3 0.605 0.447 0.197
Cd4 0.935 0.783 0.522
Ag1 0.494 0.673 0.409
Ag2 0.051 0.558 0.306
Ag3 0.506 0.327 0.591
Ag4 0.949 0.442 0.694
Ag5 0.612 0.110 0.356
Ag6 0.835 0.669 0.921
Ag7 0.388 0.890 0.644
Ag8 0.165 0.331 0.079
Ag9 0.275 0.786 0.026
Ag10 0.172 0.001 0.242
Ag11 0.725 0.214 0.974
Ag12 0.828 0.999 0.758


VASP calculation (PBE-GGA) on a relaxed Li12CdAg7 crystal.

Calculated values
space-group type: R-3, No. 148
E_tot: -2.321 eV/atom

a = 7.427 Å, b = 7.427 Å, c = 7.427 Å
α = 106.93°, β = 106.93°, γ = 106.93°
Fractional coordinates of all 20 atoms:
Li1 0.906 0.184 0.721
Li2 0.816 0.279 0.094
Li3 0.488 0.177 0.602
Li4 0.823 0.398 0.512
Li5 0.279 0.094 0.816
Li6 0.398 0.512 0.823
Li7 0.602 0.488 0.177
Li8 0.721 0.906 0.184
Li9 0.177 0.602 0.488
Li10 0.512 0.823 0.398
Li11 0.184 0.721 0.906
Li12 0.094 0.816 0.279
Cd1 0.000 0.000 0.000
Ag1 0.796 0.544 0.899
Ag2 0.456 0.101 0.204
Ag3 0.101 0.204 0.456
Ag4 0.500 0.500 0.500
Ag5 0.899 0.796 0.544
Ag6 0.544 0.899 0.796
Ag7 0.204 0.456 0.101


VASP calculation (PBE-GGA) on a relaxed Li9CdAg2 crystal.

Calculated values
space-group type: P4/mmm, No. 123
E_tot: -2.131 eV/atom

a = 4.104 Å, b = 4.104 Å, c = 12.404 Å
α = 90.00°, β = 90.00°, γ = 90.00°
Fractional coordinates of all 12 atoms:
Li1 0.500 0.500 0.000
Li2 0.500 0.500 0.339
Li3 0.500 0.500 0.661
Li4 0.500 0.000 0.176
Li5 0.500 0.000 0.500
Li6 0.500 0.000 0.824
Li7 0.000 0.500 0.176
Li8 0.000 0.500 0.500
Li9 0.000 0.500 0.824
Cd1 0.000 0.000 0.000
Ag1 0.000 0.000 0.339
Ag2 0.000 0.000 0.661


VASP calculation (PBE-GGA) on a relaxed Li5CdAg2 crystal.

Calculated values
space-group type: I4/mmm, No. 139
E_tot: -2.218 eV/atom

a = 4.503 Å, b = 4.503 Å, c = 7.464 Å
α = 107.56°, β = 107.56°, γ = 90.00°
Fractional coordinates of all 8 atoms:
Li1 0.500 0.500 0.000
Li2 0.865 0.365 0.731
Li3 0.365 0.865 0.731
Li4 0.135 0.635 0.269
Li5 0.635 0.135 0.269
Cd1 0.000 0.000 0.000
Ag1 0.752 0.752 0.504
Ag2 0.248 0.248 0.496


VASP calculation (PBE-GGA) on a relaxed Li3Cd2Ag crystal.

Calculated values
space-group type: P-3m1, No. 164
offset from the most stable computed form: 119 meV per atom
E_tot: -1.852 eV/atom

a = 5.429 Å, b = 5.429 Å, c = 8.411 Å
α = 90.00°, β = 90.00°, γ = 120.00°
Fractional coordinates of all 12 atoms:
Li1 0.175 0.351 0.245
Li2 0.649 0.825 0.245
Li3 0.175 0.825 0.245
Li4 0.825 0.649 0.755
Li5 0.825 0.175 0.755
Li6 0.351 0.175 0.755
Cd1 0.000 0.000 0.000
Cd2 0.667 0.333 0.427
Cd3 0.000 0.000 0.500
Cd4 0.333 0.667 0.573
Ag1 0.333 0.667 0.929
Ag2 0.667 0.333 0.071


VASP calculation (PBE-GGA) on a relaxed Li5Cd2Ag4 crystal.

Calculated values
space-group type: C2/m, No. 12
offset from the most stable computed form: 0 meV per atom
E_tot: -2.193 eV/atom

a = 5.454 Å, b = 5.454 Å, c = 7.696 Å
α = 74.32°, β = 74.32°, γ = 64.68°
Fractional coordinates of all 11 atoms:
Li1 0.660 0.208 0.798
Li2 0.340 0.792 0.202
Li3 0.000 0.000 0.500
Li4 0.208 0.660 0.798
Li5 0.792 0.340 0.202
Cd1 0.156 0.156 0.871
Cd2 0.844 0.844 0.129
Ag1 0.341 0.341 0.500
Ag2 0.659 0.659 0.500
Ag3 0.676 0.676 0.864
Ag4 0.324 0.324 0.136


VASP calculation (PBE-GGA) on a relaxed Li3Cd2Ag crystal.

Calculated values
space-group type: P4/mmm, No. 123
offset from the most stable computed form: 0 meV per atom
E_tot: -1.971 eV/atom

a = 3.350 Å, b = 3.350 Å, c = 9.365 Å
α = 90.00°, β = 90.00°, γ = 90.00°
Fractional coordinates of all 6 atoms:
Li1 0.000 0.000 0.000
Li2 0.000 0.000 0.657
Li3 0.000 0.000 0.343
Cd1 0.500 0.500 0.829
Cd2 0.500 0.500 0.171
Ag1 0.500 0.500 0.500


VASP calculation (PBE-GGA) on a relaxed Li4Cd5Ag crystal.

Calculated values
space-group type: P4/mmm, No. 123
E_tot: -1.730 eV/atom

a = 3.390 Å, b = 3.390 Å, c = 16.023 Å
α = 90.00°, β = 90.00°, γ = 90.00°
Fractional coordinates of all 10 atoms:
Li1 0.000 0.000 0.202
Li2 0.000 0.000 0.401
Li3 0.000 0.000 0.599
Li4 0.000 0.000 0.798
Cd1 0.500 0.500 0.106
Cd2 0.500 0.500 0.302
Cd3 0.500 0.500 0.500
Cd4 0.500 0.500 0.698
Cd5 0.500 0.500 0.894
Ag1 0.000 0.000 0.000


VASP calculation (PBE-GGA) on a relaxed LiCd6Ag4 crystal.

Calculated values
space-group type: I-42m, No. 121
E_tot: -1.665 eV/atom

a = 7.209 Å, b = 7.209 Å, c = 7.259 Å
α = 119.77°, β = 119.77°, γ = 90.00°
Fractional coordinates of all 11 atoms:
Li1 0.500 0.500 0.000
Cd1 0.041 0.389 0.430
Cd2 0.389 0.041 0.430
Cd3 0.611 0.611 0.570
Cd4 0.000 0.500 0.000
Cd5 0.959 0.959 0.570
Cd6 0.500 0.000 0.000
Ag1 0.102 0.758 0.860
Ag2 0.898 0.898 0.140
Ag3 0.758 0.102 0.860
Ag4 0.242 0.242 0.140


VASP calculation (PBE-GGA) on a relaxed Li5Cd6Ag crystal.

Calculated values
space-group type: C2/m, No. 12
E_tot: -1.731 eV/atom

a = 4.635 Å, b = 6.842 Å, c = 8.046 Å
α = 115.17°, β = 105.96°, γ = 90.00°
Fractional coordinates of all 12 atoms:
Cd1 0.829 0.573 0.659
Cd2 0.829 0.086 0.658
Cd3 0.500 0.736 0.000
Cd4 0.500 0.264 0.000
Cd5 0.171 0.914 0.342
Cd6 0.171 0.427 0.341
Ag1 0.000 0.000 0.000
Li1 0.660 0.160 0.320
Li2 0.332 0.331 0.663
Li3 0.000 0.500 0.000
Li4 0.668 0.669 0.337
Li5 0.340 0.840 0.680


VASP calculation (PBE-GGA) on a relaxed Li12Cd2Ag crystal.

Calculated values
space-group type: P4/nbm, No. 125
E_tot: -1.810 eV/atom

a = 5.518 Å, b = 5.518 Å, c = 19.703 Å
α = 90.00°, β = 90.00°, γ = 90.00°
Fractional coordinates of all 30 atoms:
Li1 0.500 0.500 0.789
Li2 0.000 0.000 0.789
Li3 0.750 0.750 0.906
Li4 0.250 0.750 0.906
Li5 0.000 0.000 0.339
Li6 0.250 0.750 0.094
Li7 0.821 0.321 0.563
Li8 0.500 0.500 0.339
Li9 0.250 0.250 0.906
Li10 0.750 0.750 0.094
Li11 0.321 0.179 0.563
Li12 0.679 0.179 0.437
Li13 0.000 0.000 0.661
Li14 0.179 0.321 0.437
Li15 0.250 0.250 0.094
Li16 0.821 0.679 0.437
Li17 0.679 0.821 0.563
Li18 0.000 0.000 0.211
Li19 0.179 0.679 0.563
Li20 0.500 0.500 0.661
Li21 0.750 0.250 0.906
Li22 0.500 0.500 0.211
Li23 0.321 0.821 0.437
Li24 0.750 0.250 0.094
Cd1 0.500 0.000 0.290
Cd2 0.000 0.500 0.290
Cd3 0.000 0.500 0.710
Cd4 0.500 0.000 0.710
Ag1 0.500 0.000 0.000
Ag2 0.000 0.500 0.000


VASP calculation (PBE-GGA) on a relaxed Li12Cd2Ag5 crystal.

Calculated values
space-group type: C2/m, No. 12
offset from the most stable computed form: 16 meV per atom
E_tot: -2.187 eV/atom

a = 7.489 Å, b = 7.378 Å, c = 7.070 Å
α = 86.77°, β = 90.00°, γ = 120.50°
Fractional coordinates of all 19 atoms:
Li1 0.817 0.634 0.124
Li2 0.019 0.641 0.773
Li3 0.622 0.641 0.773
Li4 0.156 0.782 0.375
Li5 0.626 0.782 0.375
Li6 0.444 0.888 0.720
Li7 0.556 0.112 0.280
Li8 0.844 0.218 0.625
Li9 0.374 0.218 0.625
Li10 0.981 0.359 0.227
Li11 0.378 0.359 0.227
Li12 0.183 0.366 0.876
Cd1 0.796 0.000 0.000
Cd2 0.204 0.000 0.000
Ag1 0.253 0.505 0.515
Ag2 0.355 0.710 0.090
Ag3 0.000 0.000 0.500
Ag4 0.645 0.290 0.910
Ag5 0.747 0.495 0.485


VASP calculation (PBE-GGA) on a relaxed Li6CdAg10 crystal.

Calculated values
space-group type: P-31m, No. 162
E_tot: -2.546 eV/atom

a = 5.632 Å, b = 7.727 Å, c = 7.727 Å
α = 120.00°, β = 90.00°, γ = 90.00°
Fractional coordinates of all 17 atoms:
Li1 0.691 0.363 0.363
Li2 0.691 0.000 0.637
Li3 0.691 0.637 0.000
Li4 0.309 0.637 0.637
Li5 0.309 0.000 0.363
Li6 0.309 0.363 0.000
Cd1 0.500 0.000 0.000
Ag1 0.823 0.703 0.703
Ag2 0.823 0.000 0.297
Ag3 0.823 0.297 0.000
Ag4 0.177 0.297 0.297
Ag5 0.177 0.000 0.703
Ag6 0.177 0.703 0.000
Ag7 0.500 0.333 0.667
Ag8 0.500 0.667 0.333
Ag9 0.000 0.667 0.333
Ag10 0.000 0.333 0.667


The following formation energy values (in eV per atom) correspond, in order, to the records above: -0.2044 -0.0056 -0.0391 -0.1708 0.0409 -0.0416 -0.0869 -0.1295 -0.1445 -0.1947 -0.1148 -0.1197 -0.2337 -0.2214 0.0450 -0.2383 0.0335 -0.1312 -0.1395.
The following density values (in g cm⁻³) correspond, in order, to the records above: 5.9 6.8 7.2 7.1 7.9 7.9 8.9 4.6 3.1 4.4 5.5 5.9 5.6 6.3 6.9 6.2 2.3 4.2 7.0.
The following magnetization values (in μB/cell) correspond, in order, to the records above: 0.00 0.00 0.00 0.00 0.00 0.00 0.00 0.00 0.00 0.00 0.00 0.00 0.00 0.00 0.00 0.00 0.00 0.00 0.00.